NaYCdTe3 | PBE | optimized geometry

Its energy above the most stable polymorph in this dataset is 0.065 eV per atom. The calculated volume comes out at 32.3 A^3/atom. The total magnetization is 0.00 μB/cell.

The space group is C2/m (No. 12) and the conventional cell measures 19.7130, 4.3639 and 9.2954 Å, with angles of 90.00, 103.97 and 90.00 degrees. Symmetry generates all atoms from Na at (0.1276, 0.0000, 0.0770), Y at (0.1790, 0.0000, 0.5938), Cd at (0.0342, 0.5000, 0.7241), Te at (0.0000, 0.0000, 0.5000), Te at (0.0000, 0.5000, 0.0000), Te at (0.1642, 0.5000, 0.3581) and Te at (0.1817, 0.5000, 0.8304).

=====

SrSnAu2 | PBE | optimized geometry

The calculated volume comes out at 23.5 A^3/atom. For the final energy, the calculation gives -3.40 eV per atom.

The space group is F-43m (No. 216) and the conventional cell measures 7.2207, 7.2207 and 7.2207 Å, with angles of 90.00, 90.00 and 90.00 degrees. Symmetry generates all atoms from Sr at (0.0000, 0.0000, 0.0000), Sn at (0.2500, 0.2500, 0.7500), Au at (0.0000, 0.0000, 0.5000) and Au at (0.2500, 0.2500, 0.2500).

=====

DyTaIr | PBE | optimized geometry

Its energy above the most stable polymorph in this dataset is 0.000 eV per atom. The calculated volume comes out at 22.6 A^3/atom. The formation energy is -0.151 eV/atom. The total magnetization is 0.07 μB/cell.

The space group is F-43m (No. 216) and the conventional cell measures 6.4748, 6.4748 and 6.4748 Å, with angles of 90.00, 90.00 and 90.00 degrees. Symmetry generates all atoms from Dy at (0.0000, 0.0000, 0.0000), Ta at (0.0000, 0.0000, 0.5000) and Ir at (0.2500, 0.2500, 0.2500).

=====

TbPPd | PBE | optimized geometry

The calculated volume comes out at 18.2 A^3/atom. For the final energy, the calculation gives -6.34 eV per atom. The total magnetization is 0.00 μB/cell.

The space group is Pnma (No. 62) and the conventional cell measures 6.9635, 4.0369 and 7.7803 Å, with angles of 90.00, 90.00 and 90.00 degrees. Symmetry generates all atoms from Tb at (0.0286, 0.2500, 0.1883), P at (0.2471, 0.7500, 0.3783) and Pd at (0.1493, 0.2500, 0.5609).

=====

CsErBi | PBE | optimized geometry

Its energy above the most stable polymorph in this dataset is 0.000 eV per atom. The calculated volume comes out at 39.1 A^3/atom. The total magnetization is 0.12 μB/cell.

The space group is F-43m (No. 216) and the conventional cell measures 7.7696, 7.7696 and 7.7696 Å, with angles of 90.00, 90.00 and 90.00 degrees. Symmetry generates all atoms from Cs at (0.0000, 0.0000, 0.0000), Er at (0.2500, 0.2500, 0.7500) and Bi at (0.0000, 0.0000, 0.5000).

=====

PaSe2I2 | PBE | optimized geometry

The calculated volume comes out at 40.2 A^3/atom. For the final energy, the calculation gives -4.86 eV per atom. The total magnetization is 2.00 μB/cell.

The space group is P-1 (No. 2) and the conventional cell measures 7.6876, 7.6941 and 8.6479 Å, with angles of 88.70, 67.88 and 60.13 degrees. Symmetry generates all atoms from Pa at (0.1383, 0.1374, 0.9998), Se at (0.1411, 0.9447, 0.7130), Se at (0.2066, 0.7595, 0.1133), I at (0.2505, 0.4204, 0.7658) and I at (0.3501, 0.1805, 0.2341).